# Cu2PAu

Cu2PAu after structural relaxation (PBE-GGA, Alexandria via LeMat-Bulk).

Lattice parameters (Å, degrees): 4.341 4.341 4.341 60.00 60.00 60.00
Positions (direct):
Cu 0.000 0.000 0.000
Cu 0.250 0.250 0.250
P 0.750 0.750 0.750
Au 0.500 0.500 0.500

Formation enthalpy at 0 K   0.267 eV per atom
Space group   No. 216
E_tot   -3.95 eV/atom

# K3AsAu

K3AsAu after structural relaxation (PBE-GGA, Alexandria via LeMat-Bulk).

Lattice parameters (Å, degrees): 6.272 6.272 6.272 90.00 90.00 90.00
Positions (direct):
K 0.000 0.000 0.500
K 0.000 0.500 0.000
K 0.500 0.000 0.000
As 0.000 0.000 0.000
Au 0.500 0.500 0.500

Formation enthalpy at 0 K   -0.074 eV per atom
Space group   No. 221
E_tot   -2.32 eV/atom

# Pm2PaF8

Pm2PaF8 after structural relaxation (PBE-GGA, Alexandria via LeMat-Bulk).

Lattice parameters (Å, degrees): 6.452 6.452 4.324 99.32 99.32 113.23
Positions (direct):
Pm 0.181 0.819 0.000
Pm 0.819 0.181 0.000
Pa 0.500 0.500 0.500
F 0.128 0.128 0.308
F 0.185 0.439 0.926
F 0.265 0.735 0.500
F 0.439 0.185 0.926
F 0.561 0.815 0.074
F 0.735 0.265 0.500
F 0.815 0.561 0.074
F 0.872 0.872 0.692

Space group   No. 12
ΔE_f (raw)   -3.57 eV per atom
E_tot   -6.66 eV/atom

# ThBr4N2

ThBr4N2 after structural relaxation (PBE-GGA, Alexandria via LeMat-Bulk).

Lattice parameters (Å, degrees): 11.367 11.367 11.367 27.32 27.32 27.32
Positions (direct):
Th 0.000 0.000 0.000
Br 0.083 0.083 0.083
Br 0.318 0.318 0.318
Br 0.682 0.682 0.682
Br 0.917 0.917 0.917
N 0.199 0.199 0.199
N 0.801 0.801 0.801

Space group   No. 166
ΔE_f (raw)   0.34 eV per atom
E_tot   -4.06 eV/atom

# NdMgGa

NdMgGa after structural relaxation (PBE-GGA, Alexandria via LeMat-Bulk).

Lattice parameters (Å, degrees): 4.787 4.787 3.720 90.00 90.00 120.00
Positions (direct):
Nd 0.000 0.000 0.000
Mg 0.333 0.667 0.500
Ga 0.667 0.333 0.500

Formation enthalpy at 0 K   -0.392 eV per atom
Space group   No. 187
E_tot   -3.52 eV/atom

# V2ReNiH

V2ReNiH after structural relaxation (PBE-GGA, Alexandria via LeMat-Bulk).

Lattice parameters (Å, degrees): 4.025 4.025 3.351 90.00 90.00 90.00
Positions (direct):
V 0.000 0.500 0.000
V 0.500 0.000 0.000
Re 0.000 0.000 0.500
Ni 0.500 0.500 0.500
H 0.500 0.500 0.000

Space group   No. 123
E_tot   -8.12 eV/atom

# NdAgF4

NdAgF4 after structural relaxation (PBE-GGA, Alexandria via LeMat-Bulk).

Lattice parameters (Å, degrees): 4.017 4.017 5.932 90.00 90.00 90.00
Positions (direct):
Nd 0.000 0.000 0.000
Ag 0.500 0.500 0.500
F 0.000 0.500 0.221
F 0.000 0.500 0.779
F 0.500 0.000 0.221
F 0.500 0.000 0.779

Space group   No. 123
ΔE_f (raw)   -3.04 eV per atom
E_tot   -5.56 eV/atom

# Y3ScHg

Y3ScHg after structural relaxation (PBE-GGA, Alexandria via LeMat-Bulk).

Lattice parameters (Å, degrees): 5.633 5.633 5.633 90.00 90.00 90.00
Positions (direct):
Y 0.000 0.000 0.500
Y 0.000 0.500 0.000
Y 0.500 0.000 0.000
Sc 0.500 0.500 0.500
Hg 0.000 0.000 0.000

Formation enthalpy at 0 K   0.358 eV per atom
Space group   No. 221
E_tot   -4.85 eV/atom

# SrPb3

SrPb3 after structural relaxation (PBE-GGA, Alexandria via LeMat-Bulk).

Lattice parameters (Å, degrees): 6.431 6.431 6.431 90.00 90.00 90.00
Positions (direct):
Sr 0.000 0.000 0.000
Sr 0.500 0.500 0.500
Pb 0.000 0.250 0.500
Pb 0.000 0.750 0.500
Pb 0.250 0.500 0.000
Pb 0.500 0.000 0.250
Pb 0.500 0.000 0.750
Pb 0.750 0.500 0.000

Formation enthalpy at 0 K   -0.162 eV per atom
Space group   No. 223
E_tot   -3.36 eV/atom

# TlSn2Hg5

TlSn2Hg5 after structural relaxation (PBE-GGA, Alexandria via LeMat-Bulk).

Lattice parameters (Å, degrees): 11.250 11.250 11.250 156.97 156.97 32.80
Positions (direct):
Tl 0.000 0.000 0.000
Sn 0.257 0.257 0.000
Sn 0.743 0.743 0.000
Hg 0.127 0.627 0.500
Hg 0.373 0.873 0.500
Hg 0.500 0.500 0.000
Hg 0.627 0.127 0.500
Hg 0.873 0.373 0.500

Formation enthalpy at 0 K   0.047 eV per atom
Space group   No. 139
E_tot   -1.44 eV/atom

# Na5TlPb

Na5TlPb after structural relaxation (PBE-GGA, Alexandria via LeMat-Bulk).

Lattice parameters (Å, degrees): 7.865 7.865 7.865 120.42 78.68 133.63
Positions (direct):
Na 0.000 0.000 0.000
Na 0.155 0.407 0.748
Na 0.280 0.603 0.323
Na 0.280 0.958 0.677
Na 0.659 0.407 0.252
Tl 0.537 0.537 0.000
Pb 0.776 0.276 0.500

Formation enthalpy at 0 K   0.161 eV per atom
Space group   No. 44
E_tot   -1.65 eV/atom

# CrCo2Se

CrCo2Se after structural relaxation (PBE-GGA, Alexandria via LeMat-Bulk).

Lattice parameters (Å, degrees): 7.879 7.879 7.879 20.43 20.43 20.43
Positions (direct):
Cr 0.000 0.000 0.000
Co 0.498 0.498 0.498
Co 0.751 0.751 0.751
Se 0.256 0.256 0.256

Space group   No. 160
ΔE_f (raw)   0.38 eV per atom
E_tot   -6.45 eV/atom